Here is a PBEsol-optimized structure of CsTaSe2 from the Alexandria database. Energies are from SCAN.

Lattice parameters (Å, degrees): 7.170 7.170 7.170 90.00 90.00 90.00
Space group Fm-3m (No. 225)
Inequivalent atoms, fractional coordinates:
Cs1 0.000 0.000 0.000 [4 per cell]
Ta1 0.000 0.000 0.500 [4 per cell]
Se1 0.250 0.250 0.250 [8 per cell]

Summary:
- Uncorrected formation energy: 0.2158 eV per atom
- Electronic total energy: -143.69 eV per formula unit

---

Here is a PBEsol-optimized structure of Cs2TaSe from the Alexandria database. Energies are from SCAN.

Lattice parameters (Å, degrees): 8.408 8.408 8.408 90.00 90.00 90.00
Space group Fm-3m (No. 225)
Inequivalent atoms, fractional coordinates:
Cs1 0.250 0.250 0.250 [8 per cell]
Ta1 0.000 0.000 0.000 [4 per cell]
Se1 0.000 0.000 0.500 [4 per cell]

Summary:
- Uncorrected formation energy: 1.0028 eV per atom
- Electronic total energy: -158.27 eV per formula unit

---

Here is a PBEsol-optimized structure of CsTbZnSe3 from the Alexandria database. Energies are from SCAN.

Lattice parameters (Å, degrees): 4.104 15.816 10.837 90.00 90.00 90.00
Space group Cmcm (No. 63)
Inequivalent atoms, fractional coordinates:
Cs1 0.000 0.244 0.250 [4 per cell]
Tb1 0.000 0.500 0.000 [4 per cell]
Zn1 0.000 0.037 0.750 [4 per cell]
Se1 0.000 0.119 0.560 [8 per cell]
Se2 0.000 0.443 0.750 [4 per cell]

Summary:
- Uncorrected formation energy: -1.6078 eV per atom
- Electronic total energy: -167.97 eV per formula unit

---

Here is a PBEsol-optimized structure of CsTeSe3 from the Alexandria database. Energies are from SCAN.

Lattice parameters (Å, degrees): 5.418 5.418 5.418 90.00 90.00 90.00
Space group Pm-3m (No. 221)
Inequivalent atoms, fractional coordinates:
Cs1 0.000 0.000 0.000 [1 per cell]
Te1 0.500 0.500 0.500 [1 per cell]
Se1 0.000 0.500 0.500 [3 per cell]

Summary:
- Uncorrected formation energy: -0.3490 eV per atom
- Electronic total energy: -137.04 eV per formula unit

---

Question: Look up the electronic total energy of the second one.
Answer: -158.27 eV per formula unit